1.
This record from the Alexandria database describes a geometry-optimized HfTcGe structure. The functional is GGA-PBEsol.

Cell: 3.961 3.961 12.997 Å, 90.00 90.00 90.00°
Sites, in units of the cell vectors:
Hf 0.000 0.000 0.152
Hf 0.000 0.000 0.848
Hf 0.500 0.500 0.348
Hf 0.500 0.500 0.652
Tc 0.000 0.500 0.000
Tc 0.000 0.500 0.500
Tc 0.500 0.000 0.000
Tc 0.500 0.000 0.500
Ge 0.000 0.000 0.370
Ge 0.000 0.000 0.630
Ge 0.500 0.500 0.130
Ge 0.500 0.500 0.870

## Properties
**DOS at the Fermi energy**: 0.47 states/eV per atom
**Electronic total energy**: -9.48 eV per atom
**Formation enthalpy at 0 K**: -0.573 eV/atom

=====

2.
This record from the Alexandria database describes a geometry-optimized RhSeCl structure. The functional is GGA-PBEsol.

Cell: 3.494 3.494 5.783 Å, 90.00 90.00 120.00°
Sites, in units of the cell vectors:
Rh 0.000 0.000 0.000
Se 0.667 0.333 0.221
Cl 0.333 0.667 0.745

## Properties
**Raw formation energy**: -0.554 eV per atom
**Electronic total energy**: -5.22 eV per atom

=====

3.
This record from the Alexandria database describes a geometry-optimized Be2SbRu structure. The functional is GGA-PBEsol.

Cell: 3.127 3.127 5.353 Å, 90.00 90.00 90.00°
Sites, in units of the cell vectors:
Be 0.000 0.000 0.000
Be 0.500 0.500 0.190
Sb 0.500 0.500 0.708
Ru 0.000 0.000 0.413

## Properties
**Raw formation energy**: 0.137 eV per atom
**DOS at the Fermi energy**: 0.40 states/eV per atom
**Electronic total energy**: -5.55 eV per atom

=====

4.
This record from the Alexandria database describes a geometry-optimized BaTaRe2Br structure. The functional is GGA-PBEsol.

Cell: 5.032 5.032 5.237 Å, 90.00 90.00 90.00°
Sites, in units of the cell vectors:
Ba 0.000 0.000 0.000
Ta 0.000 0.000 0.500
Re 0.000 0.500 0.000
Re 0.500 0.000 0.000
Br 0.500 0.500 0.500

## Properties
**Raw formation energy**: 3.781 eV per atom
**DOS at the Fermi energy**: 1.37 states/eV per atom
**Electronic total energy**: -4.87 eV per atom